LiMn2B2O6 | PBE+U | optimized geometry

a b c (Å): 5.3117 6.2062 7.6824
angles (deg): 80.92 87.69 88.28
Last column: magnetic moment on the atom in μB.
Sites, in units of the cell vectors:
Li (0.9028, 0.6421, 0.6955)  0.00
Li (0.0972, 0.3579, 0.3045)  0.00
Mn (0.5946, 0.5629, 0.1781)  3.94
Mn (0.9033, 0.9311, 0.3156)  4.63
Mn (0.4054, 0.4371, 0.8219)  3.94
Mn (0.0967, 0.0689, 0.6844)  4.63
B (0.4105, 0.7425, 0.4889)  0.02
B (0.5895, 0.2575, 0.5111)  0.02
B (0.9245, 0.2838, 0.9925)  0.02
B (0.0755, 0.7162, 0.0075)  0.02
O (0.3268, 0.6429, 0.9877)  -0.01
O (0.6732, 0.3571, 0.0123)  -0.01
O (0.9505, 0.8305, 0.8735)  0.02
O (0.0495, 0.1695, 0.1265)  0.02
O (0.0406, 0.3527, 0.8253)  0.01
O (0.9594, 0.6473, 0.1747)  0.01
O (0.1606, 0.8024, 0.5166)  0.03
O (0.8394, 0.1976, 0.4834)  0.03
O (0.5587, 0.6478, 0.6250)  0.00
O (0.4413, 0.3522, 0.3750)  0.00
O (0.5281, 0.7937, 0.3188)  -0.03
O (0.4719, 0.2063, 0.6812)  -0.03

Computed properties:
Its polymorph energy (0 for the lowest one) is 8.9 meV per atom. As for the space-group type: No. 2.